A plane-wave DFT calculation with PBE was carried out for a relaxed NbGaH2Au crystal.

Lattice parameters (Å, degrees): 3.6596 5.6608 3.6596 90.00 90.00 90.00
Closest atoms and distances in Å follow each position.
Element x y z (fractional)
H: 0.0000 0.0000 0.5000  2 Au 1.83
H: 0.5000 0.0000 0.0000  2 Au 1.83
Nb: 0.0000 0.5000 0.0000  4 Ga 2.59, 2 Au 2.83
Au: 0.0000 0.0000 0.0000  4 H 1.83
Ga: 0.5000 0.5000 0.5000  4 Nb 2.59

Calculated values
N(E_F) in states/eV/atom: 0.77
DFT total energy in eV/atom: -4.10
Size of the total moment in μB per formula unit: 0.0

---

A plane-wave DFT calculation with PBE was carried out for a relaxed Nb2GaHAu crystal.

Lattice parameters (Å, degrees): 4.0075 4.0075 4.4725 90.00 90.00 90.00
Closest atoms and distances in Å follow each position.
Element x y z (fractional)
H: 0.0000 0.0000 0.0000  4 Nb 2.00, 2 Au 2.24
Au: 0.0000 0.0000 0.5000  2 H 2.24
Ga: 0.5000 0.5000 0.5000  4 Au 2.83, 8 Nb 3.00
Nb: 0.5000 0.0000 0.0000  2 H 2.00
Nb: 0.0000 0.5000 0.0000  2 H 2.00

Calculated values
N(E_F) in states/eV/atom: 0.31
DFT total energy in eV/atom: -6.12
Size of the total moment in μB per formula unit: 0.0

---

A plane-wave DFT calculation with PBE was carried out for a relaxed GaNi2HAu crystal.

Lattice parameters (Å, degrees): 3.7418 3.7418 4.0201 90.00 90.00 90.00
Closest atoms and distances in Å follow each position.
Element x y z (fractional)
Au: 0.5000 0.5000 0.5000  4 Ga 2.65, 8 Ni 2.75
Ni: 0.5000 0.0000 0.0000  2 H 1.87
H: 0.0000 0.0000 0.0000  4 Ni 1.87, 2 Ga 2.01
Ga: 0.0000 0.0000 0.5000  2 H 2.01
Ni: 0.0000 0.5000 0.0000  2 H 1.87

Calculated values
N(E_F) in states/eV/atom: 0.41
DFT total energy in eV/atom: -4.29
Size of the total moment in μB per formula unit: 0.0

---

A plane-wave DFT calculation with PBE was carried out for a relaxed GaNi2HAu crystal.

Lattice parameters (Å, degrees): 3.7929 3.7929 3.9513 90.00 90.00 90.00
Closest atoms and distances in Å follow each position.
Element x y z (fractional)
Ga: 0.5000 0.5000 0.5000  4 Au 2.68, 8 Ni 2.74
H: 0.0000 0.0000 0.0000  4 Ni 1.90, 2 Au 1.98
Au: 0.0000 0.0000 0.5000  2 H 1.98
Ni: 0.5000 0.0000 0.0000  2 H 1.90
Ni: 0.0000 0.5000 0.0000  2 H 1.90

Calculated values
N(E_F) in states/eV/atom: 0.51
DFT total energy in eV/atom: -4.29
Size of the total moment in μB per formula unit: 0.0

---

A plane-wave DFT calculation with PBE was carried out for a relaxed GaPH2Au crystal.

Lattice parameters (Å, degrees): 3.4733 6.3833 3.4733 90.00 90.00 90.00
Closest atoms and distances in Å follow each position.
Element x y z (fractional)
Ga: 0.0000 0.5000 0.0000  4 P 2.46
P: 0.5000 0.5000 0.5000  4 Ga 2.46
Au: 0.0000 0.0000 0.0000  4 H 1.74
H: 0.5000 0.0000 0.0000  2 Au 1.74
H: 0.0000 0.0000 0.5000  2 Au 1.74

Calculated values
N(E_F) in states/eV/atom: 0.45
DFT total energy in eV/atom: -3.39
Size of the total moment in μB per formula unit: 0.0

---

A plane-wave DFT calculation with PBE was carried out for a relaxed GaHPdAu2 crystal.

Lattice parameters (Å, degrees): 4.4473 4.4473 3.6331 90.00 90.00 90.00
Closest atoms and distances in Å follow each position.
Element x y z (fractional)
Au: 0.0000 0.5000 0.0000  2 H 2.22
Pd: 0.0000 0.0000 0.5000  2 H 1.82
H: 0.0000 0.0000 0.0000  2 Pd 1.82
Ga: 0.5000 0.5000 0.5000  8 Au 2.87, 4 Pd 3.14
Au: 0.5000 0.0000 0.0000  2 H 2.22

Calculated values
N(E_F) in states/eV/atom: 0.53
DFT total energy in eV/atom: -3.63
Size of the total moment in μB per formula unit: 0.0